# 1
Al2Ru | PBE | relaxed

**Calculated total energy**: -74.60 eV for the cell shown
**Symmetry**: Pnma, No. 62
**E_form**: -0.63 eV per atom
**Calculated volume**: 14.15 A^3/atom
**Spin magnetization**: 0.0 μB per formula unit
**Density of states at the Fermi level**: 0.45 states/eV/atom

Cell and atoms, written as extended XYZ:
```
12
Lattice="5.077 0.000 0.000 0.000 4.157 0.000 0.000 0.000 8.045" Properties=species:S:1:pos:R:3 pbc="T T T"
Al 0.594 1.039 1.612
Al 0.773 1.039 4.396
Al 1.766 3.118 0.373
Al 1.945 3.118 5.635
Al 3.132 1.039 2.410
Al 3.311 1.039 7.672
Al 4.304 3.118 3.650
Al 4.483 3.118 6.433
Ru 0.781 1.039 7.016
Ru 1.758 3.118 2.994
Ru 3.319 1.039 5.052
Ru 4.296 3.118 1.029
```


# 2
AlRu2 | PBE | relaxed

**Calculated total energy**: -43.30 eV for the cell shown
**Symmetry**: Fd-3m, No. 227
**E_form**: 0.21 eV per atom
**Calculated volume**: 15.36 A^3/atom
**Spin magnetization**: 0.0 μB per formula unit
**Density of states at the Fermi level**: 1.41 states/eV/atom

Cell and atoms, written as extended XYZ:
```
6
Lattice="0.000 3.585 3.585 3.585 0.000 3.585 3.585 3.585 0.000" Properties=species:S:1:pos:R:3 pbc="T T T"
Al 0.896 0.896 0.896
Al 6.274 6.274 6.274
Ru 3.585 1.793 1.793
Ru 1.793 3.585 1.793
Ru 1.793 1.793 3.585
Ru 3.585 3.585 3.585
```


# 3
Al4Ru3 | PBE | relaxed

**Calculated total energy**: -46.36 eV for the cell shown
**Symmetry**: I4/mmm, No. 139
**E_form**: -0.51 eV per atom
**Calculated volume**: 14.02 A^3/atom
**Spin magnetization**: 0.0 μB per formula unit
**Density of states at the Fermi level**: 0.56 states/eV/atom

Cell and atoms, written as extended XYZ:
```
7
Lattice="-1.565 1.565 10.013 1.565 -1.565 10.013 1.565 1.565 -10.013" Properties=species:S:1:pos:R:3 pbc="T T T"
Al 0.000 0.000 1.355
Al 0.000 0.000 7.100
Al 0.000 0.000 12.925
Al 0.000 0.000 18.670
Ru 0.000 0.000 4.130
Ru 0.000 0.000 10.013
Ru 0.000 0.000 15.895
```


# 4
AlRu2 | PBE | relaxed

**Calculated total energy**: -90.86 eV for the cell shown
**Symmetry**: I4_1/amd, No. 141
**E_form**: -0.14 eV per atom
**Calculated volume**: 14.13 A^3/atom
**Spin magnetization**: 0.0 μB per formula unit
**Density of states at the Fermi level**: 1.41 states/eV/atom

Cell and atoms, written as extended XYZ:
```
12
Lattice="-1.905 1.905 11.682 1.905 -1.905 11.682 1.905 1.905 -11.682" Properties=species:S:1:pos:R:3 pbc="T T T"
Al 1.905 0.953 1.085
Al 1.905 0.953 4.756
Al 0.000 0.953 6.926
Al 0.000 0.953 10.596
Ru 1.905 -0.953 6.719
Ru 1.905 0.953 -2.855
Ru 1.905 -0.953 10.804
Ru 0.000 0.953 2.986
Ru 1.905 0.953 8.696
Ru 0.000 2.858 0.878
Ru 0.000 0.953 14.537
Ru 0.000 2.858 4.963
```


What is the formula in the fourth record? AlRu2